[1]
A relaxed structure of Pt3Rh, computed with GGA-PBE.

```
Pt3Rh
1.0
5.520 0.000 0.000
0.000 4.668 0.000
0.000 0.000 4.773
Pt Rh
6 2
Direct
0.751 0.000 0.168
0.249 0.000 0.168
0.749 0.500 0.832
0.500 0.000 0.666
0.251 0.500 0.832
0.000 0.500 0.334
0.500 0.500 0.334
0.000 0.000 0.666
```

Results
Calculated formation energy   36 meV/atom
Crystal system   orthorhombic

---

[2]
A relaxed structure of PtRh, computed with GGA-PBE.

```
PtRh
1.0
2.768 0.000 0.000
1.384 2.397 0.000
1.384 0.799 4.500
Pt Rh
1 1
Direct
0.000 0.000 0.000
0.500 0.500 0.500
```

Results
Calculated formation energy   -11 meV/atom
Crystal system   trigonal

---

[3]
A relaxed structure of PtRh3, computed with GGA-PBE.

```
PtRh3
1.0
4.737 -0.002 -0.002
3.945 2.623 -0.002
-9.474 -2.860 4.687
Rh Pt
3 1
Direct
0.007 0.007 0.254
0.000 0.000 0.500
0.993 0.993 0.746
0.000 0.000 0.000
```

Results
Calculated formation energy   0 meV/atom
Crystal system   monoclinic

---

[4]
A relaxed structure of Pt3Rh, computed with GGA-PBE.

```
Pt3Rh
1.0
-3.260 -0.509 -2.154
-0.885 -3.215 2.099
0.047 4.080 2.571
Pt Rh
3 1
Direct
0.500 0.500 0.000
0.750 0.250 0.500
0.250 0.750 0.500
0.000 0.000 0.000
```

Results
Calculated formation energy   -25 meV/atom
Crystal system   tetragonal

---

[5]
A relaxed structure of PtRh3, computed with GGA-PBE.

```
PtRh3
1.0
-2.124 2.903 2.517
-1.004 3.966 -1.592
-4.179 1.020 -0.874
Rh Pt
3 1
Direct
0.500 0.500 0.500
0.250 0.250 0.250
0.750 0.750 0.750
0.000 0.000 0.000
```

Results
Calculated formation energy   268 meV/atom
Crystal system   cubic

---

[6]
A relaxed structure of PtRh3, computed with GGA-PBE.

```
PtRh3
1.0
4.860 0.000 0.000
0.000 4.860 0.000
0.000 0.000 4.860
Pt Rh
1 3
Direct
0.000 0.000 0.000
0.500 0.000 0.000
0.000 0.000 0.500
0.000 0.500 0.000
```

Results
Calculated formation energy   1957 meV/atom
Crystal system   cubic

---

[7]
A relaxed structure of Pt4Rh, computed with GGA-PBE.

```
Pt4Rh
1.0
-1.818 1.818 6.528
1.818 -1.818 6.528
1.818 1.818 -6.528
Pt Rh
4 1
Direct
0.404 0.404 0.000
0.596 0.596 0.000
0.250 0.750 0.500
0.750 0.250 0.500
0.000 0.000 0.000
```

Results
Calculated formation energy   423 meV/atom
Crystal system   tetragonal
Energy above the lowest structure with this stoichiometry   445.6 meV per atom

---

[8]
A relaxed structure of Pt4Rh, computed with GGA-PBE.

```
Pt4Rh
1.0
-1.297 -3.492 -5.025
0.139 -5.152 3.545
-2.499 -4.127 -0.381
Pt Rh
4 1
Direct
0.799 0.601 0.000
0.399 0.799 0.000
0.601 0.201 0.000
0.201 0.399 0.000
0.000 0.000 0.000
```

Results
Calculated formation energy   -22 meV/atom
Crystal system   tetragonal
Energy above the lowest structure with this stoichiometry   0.0 meV per atom

---

The lowest calculated formation energy belongs to which entry? number 4